VASP calculation (PBE) on CdAs2Se after structural relaxation.

```
data_CdAs2Se
_chemical_formula_sum 'Cd2 As4 Se2'
_symmetry_space_group_name_H-M 'C 1 m 1'
_symmetry_Int_Tables_number 8
_cell_length_a 13.125
_cell_length_b 3.460
_cell_length_c 4.314
_cell_angle_alpha 90.00
_cell_angle_beta 93.69
_cell_angle_gamma 90.00
loop_
_symmetry_equiv_pos_as_xyz
'x,y,z'
'x,-y,z'
'x+1/2,y+1/2,z'
'x+1/2,-y+1/2,z'
loop_
_atom_site_label
_atom_site_type_symbol
_atom_site_fract_x
_atom_site_fract_y
_atom_site_fract_z
Cd1 Cd 0.000 0.000 0.000
As1 As 0.279 0.500 0.400
As2 As 0.440 0.000 0.495
Se1 Se 0.210 0.000 0.003
```

Calculated values
Formation energy without anion corrections = 0.3 eV per formula unit
Total moment = 0.000 μB/f.u.
Relative energy among the computed polymorphs = 189.3 meV/atom